# 1
A relaxed structure of SrTc2Os. Source: Alexandria, functional GGA-PBE.

E_form: 3.85 eV per formula unit
excess energy over the best structure of this formula in the dataset: 0.352 eV/atom
ρ: 11.344 g cm⁻³

Unit cell a=6.5222 b=6.5222 c=6.5222 alpha=90.00 beta=90.00 gamma=90.00
Space group F-43m (No. 216)
Asymmetric unit:
Sr  0.0000  0.0000  0.0000 [4 per cell]
Tc  0.0000  0.0000  0.5000 [4 per cell]
Tc  0.2500  0.2500  0.2500 [4 per cell]
Os  0.2500  0.2500  0.7500 [4 per cell]

---

# 2
A relaxed structure of AcCu2Ge3. Source: Alexandria, functional GGA-PBE.

E_form: -2.21 eV per formula unit
ρ: 8.001 g cm⁻³

Unit cell a=4.3218 b=4.3218 c=25.4227 alpha=90.00 beta=90.00 gamma=90.00
Space group I4/mmm (No. 139)
Asymmetric unit:
Ac  0.0000  0.0000  0.1513 [4 per cell]
Cu  0.0000  0.0000  0.4012 [4 per cell]
Cu  0.0000  0.5000  0.2500 [4 per cell]
Ge  0.0000  0.0000  0.3022 [4 per cell]
Ge  0.0000  0.5000  0.0491 [8 per cell]

---

# 3
A relaxed structure of Y8GaSi3Te4. Source: Alexandria, functional GGA-PBE.

raw formation energy: -1.070 eV per atom
ρ: 5.189 g cm⁻³

Unit cell a=8.4222 b=8.4222 c=21.4953 alpha=90.00 beta=90.00 gamma=120.00
Space group R-3m (No. 166, hexagonal axes)
Asymmetric unit:
Y  0.0000  0.0000  0.2389 [6 per cell]
Y  0.0045  0.5022  0.7586 [18 per cell]
Ga  0.0000  0.0000  0.5000 [3 per cell]
Si  0.0000  0.5000  0.5000 [9 per cell]
Te  0.0000  0.0000  0.0000 [3 per cell]
Te  0.0000  0.5000  0.0000 [9 per cell]

---

# 4
A relaxed structure of Tc3PbBr. Source: Alexandria, functional GGA-PBE.

raw formation energy: 1.528 eV per atom
excess energy over the best structure of this formula in the dataset: 0.000 eV/atom
ρ: 9.615 g cm⁻³

Unit cell a=4.6471 b=4.6471 c=4.6471 alpha=90.00 beta=90.00 gamma=90.00
Space group Pm-3m (No. 221)
Asymmetric unit:
Tc  0.0000  0.0000  0.5000 [3 per cell]
Pb  0.5000  0.5000  0.5000 [1 per cell]
Br  0.0000  0.0000  0.0000 [1 per cell]

---

# 5
A relaxed structure of HoErGaSi. Source: Alexandria, functional GGA-PBE.

raw formation energy: -0.748 eV per atom
ρ: 7.992 g cm⁻³

Unit cell a=3.9328 b=4.2750 c=10.6279 alpha=90.00 beta=90.00 gamma=90.00
Space group Amm2 (No. 38)
Asymmetric unit:
Ho  0.0000  0.0000  0.0000 [2 per cell]
Er  0.5000  0.0000  0.2811 [2 per cell]
Ga  0.0000  0.0000  0.7170 [2 per cell]
Si  0.5000  0.0000  0.5637 [2 per cell]

---

# 6
A relaxed structure of Zn2ReSe. Source: Alexandria, functional GGA-PBE.

raw formation energy: 0.539 eV per atom
excess energy over the best structure of this formula in the dataset: 0.347 eV/atom
ρ: 10.416 g cm⁻³

Unit cell a=4.4022 b=4.4022 c=3.2575 alpha=90.00 beta=90.00 gamma=90.00
Space group P4/mmm (No. 123)
Asymmetric unit:
Zn  0.0000  0.5000  0.0000 [2 per cell]
Re  0.0000  0.0000  0.5000 [1 per cell]
Se  0.5000  0.5000  0.5000 [1 per cell]

---

# 7
A relaxed structure of DyInOsO6. Source: Alexandria, functional GGA-PBE.

raw formation energy: -1.754 eV per atom
ρ: 7.996 g cm⁻³

Unit cell a=5.4691 b=5.4691 c=9.0353 alpha=90.00 beta=90.00 gamma=120.00
Space group P-31c (No. 163)
Asymmetric unit:
Dy  0.3333  0.6667  0.2500 [2 per cell]
In  0.0000  0.0000  0.0000 [2 per cell]
Os  0.3333  0.6667  0.7500 [2 per cell]
O  0.0426  0.3676  0.6291 [12 per cell]

---

# 8
A relaxed structure of LiAc12Si7. Source: Alexandria, functional GGA-PBE.

raw formation energy: -0.279 eV per atom
ρ: 7.113 g cm⁻³

Unit cell a=15.8223 b=15.8223 c=9.4566 alpha=90.00 beta=90.00 gamma=120.00
Space group R-3 (No. 148, hexagonal axes)
Asymmetric unit:
Li  0.0000  0.0000  0.0000 [3 per cell]
Ac  0.0198  0.5830  0.3331 [18 per cell]
Ac  0.0449  0.8711  0.2804 [18 per cell]
Si  0.0000  0.0000  0.5000 [3 per cell]
Si  0.0433  0.8745  0.9369 [18 per cell]